{
  "formula": "LiCrHgW2",
  "functional": "PBE",
  "state": "relaxed",
  "lattice": [[4.9921, 0.0000, 0.0000], [0.0000, 4.9921, 0.0000], [0.0000, 0.0000, 3.9834]],
  "species": ["Li", "Cr", "Hg", "W", "W"],
  "frac_coords": [[0.0000, 0.0000, 0.0000], [0.5000, 0.5000, 0.0000], [0.0000, 0.0000, 0.5000], [0.0000, 0.5000, 0.5000], [0.5000, 0.0000, 0.5000]],
  "total_energy_ev_per_cell": -25.5,
  "formation_enthalpy_0k_ev_per_atom": 2.457,
  "spacegroup": "No. 123"
}